DFT (PBE) results for an optimized crystal structure of Ac3Pm6Pr2.

Values from the calculation:
- M_tot: 0.0 μB per cell
- E: -48.50 eV for the cell shown
- Energy relative to the elements: 0.171 eV/atom
- Space-group type: C2/m (12)

Cell lengths 6.260, 6.726, 12.217 Å; angles 80.10, 68.32, 62.27 degrees
Fractional coordinates of all 11 atoms:
Pr 0.141 0.718 0.500
Pr 0.859 0.282 0.500
Pm 0.801 0.688 0.290
Pm 0.173 0.000 0.242
Pm 0.511 0.688 0.710
Pm 0.199 0.312 0.710
Pm 0.489 0.312 0.290
Pm 0.827 0.000 0.758
Ac 0.000 0.000 0.000
Ac 0.328 0.344 0.000
Ac 0.672 0.656 0.000